Entry 1:
VASP calculation (PBE) on a relaxed structure of TbCo2B2.

a = 3.551 Å, b = 3.551 Å, c = 9.459 Å
α = 90.00°, β = 90.00°, γ = 90.00°
Space group I4/mmm (No. 139)
Asymmetric unit:
1 Tb 0.000 0.000 0.000 [2 per cell]
2 Co 0.000 0.500 0.250 [4 per cell]
3 B 0.000 0.000 0.348 [4 per cell]

Summary:
total energy = -6.998 eV per atom
DFT formation energy = -53.9 kJ per mole of atoms

***

Entry 2:
VASP calculation (PBE) on a relaxed structure of Ba2Na3NpO6.

a = 6.430 Å, b = 11.648 Å, c = 6.003 Å
α = 90.00°, β = 109.33°, γ = 90.00°
Space group C2/m (No. 12)
Asymmetric unit:
1 Ba 0.000 0.170 0.000 [4 per cell]
2 Na 0.000 0.000 0.500 [2 per cell]
3 Na 0.000 0.371 0.500 [4 per cell]
4 Np 0.000 0.500 0.000 [2 per cell]
5 O 0.202 0.367 0.221 [8 per cell]
6 O 0.222 0.500 0.790 [4 per cell]

Summary:
total energy = -6.522 eV per atom
formation energy without anion corrections = -2.31 eV/atom

***

Entry 3:
VASP calculation (PBE) on a relaxed structure of CaY2Cl.

a = 3.450 Å, b = 5.800 Å, c = 11.901 Å
α = 90.00°, β = 90.00°, γ = 90.00°
Space group Immm (No. 71)
Asymmetric unit:
1 Ca 0.000 0.000 0.000 [2 per cell]
2 Y 0.000 0.500 0.207 [4 per cell]
3 Cl 0.000 0.000 0.500 [2 per cell]

Summary:
total energy = -4.704 eV per atom
formation energy without anion corrections = -0.51 eV/atom
distance to the lowest polymorph of the same formula = 5.075 kcal/mol of atoms

***

Entry 4:
VASP calculation (PBE) on a relaxed structure of LiLa2Pd6.

a = 8.720 Å, b = 8.720 Å, c = 8.720 Å
α = 90.00°, β = 90.00°, γ = 90.00°
Space group Fm-3m (No. 225)
Asymmetric unit:
1 Li 0.000 0.000 0.000 [4 per cell]
2 La 0.250 0.250 0.250 [8 per cell]
3 Pd 0.000 0.000 0.269 [24 per cell]

Summary:
total energy = -5.499 eV per atom
DFT formation energy = -70.4 kJ per mole of atoms
distance to the lowest polymorph of the same formula = 0.000 kcal/mol of atoms

***

Repeat the second record exactly.
VASP calculation (PBE) on a relaxed structure of Ba2Na3NpO6.

a = 6.430 Å, b = 11.648 Å, c = 6.003 Å
α = 90.00°, β = 109.33°, γ = 90.00°
Space group C2/m (No. 12)
Asymmetric unit:
1 Ba 0.000 0.170 0.000 [4 per cell]
2 Na 0.000 0.000 0.500 [2 per cell]
3 Na 0.000 0.371 0.500 [4 per cell]
4 Np 0.000 0.500 0.000 [2 per cell]
5 O 0.202 0.367 0.221 [8 per cell]
6 O 0.222 0.500 0.790 [4 per cell]

Summary:
total energy = -6.522 eV per atom
formation energy without anion corrections = -2.31 eV/atom

***

> Which value of total energy does entry 1 give?

-6.998 eV per atom

***

> Which value of total energy does entry 2 give?

-6.522 eV per atom

***

> The lowest total energy belongs to which entry?

TbCo2B2